# 1
MgPa2In after structural relaxation. Source: the Alexandria database, functional PBE.

- Formation enthalpy at 0 K: 0.23 eV per atom
- Size of the total moment: 1.23 μB per cell
- E_tot: -5.603 eV/atom

CIF file:
```
data_MgPa2In
_cell_length_a 3.1263
_cell_length_b 3.1263
_cell_length_c 36.4857
_cell_angle_alpha 90.00
_cell_angle_beta 90.00
_cell_angle_gamma 120.00
_space_group_name_H-M_alt 'P 1'
_space_group_IT_number 1
loop_
_space_group_symop_operation_xyz
'x,y,z'
loop_
_atom_site_label
_atom_site_fract_x
_atom_site_fract_y
_atom_site_fract_z
Mg1 0.0000 0.0000 0.0000
Mg2 0.3333 0.6667 0.6667
Mg3 0.6667 0.3333 0.3333
Pa1 0.0000 0.0000 0.0891
Pa2 0.0000 0.0000 0.9109
Pa3 0.3333 0.6667 0.5776
Pa4 0.3333 0.6667 0.7558
Pa5 0.6667 0.3333 0.2442
Pa6 0.6667 0.3333 0.4224
In1 0.0000 0.0000 0.5000
In2 0.3333 0.6667 0.1667
In3 0.6667 0.3333 0.8333
```


# 2
MgPaIn2 after structural relaxation. Source: the Alexandria database, functional PBE.

- Formation enthalpy at 0 K: 0.26 eV per atom
- Size of the total moment: 2.90 μB per cell
- E_tot: -3.880 eV/atom

CIF file:
```
data_MgPaIn2
_cell_length_a 4.8357
_cell_length_b 4.8357
_cell_length_c 15.1005
_cell_angle_alpha 90.00
_cell_angle_beta 90.00
_cell_angle_gamma 120.00
_space_group_name_H-M_alt 'P 1'
_space_group_IT_number 1
loop_
_space_group_symop_operation_xyz
'x,y,z'
loop_
_atom_site_label
_atom_site_fract_x
_atom_site_fract_y
_atom_site_fract_z
Mg1 0.0000 0.0000 0.0000
Mg2 0.3333 0.6667 0.6667
Mg3 0.6667 0.3333 0.3333
Pa1 0.0000 0.0000 0.2288
Pa2 0.3333 0.6667 0.8955
Pa3 0.6667 0.3333 0.5621
In1 0.0000 0.0000 0.4555
In2 0.0000 0.0000 0.7041
In3 0.3333 0.6667 0.1222
In4 0.3333 0.6667 0.3708
In5 0.6667 0.3333 0.0374
In6 0.6667 0.3333 0.7888
```


# 3
Mg12Pa3In5 after structural relaxation. Source: the Alexandria database, functional PBE.

- Formation enthalpy at 0 K: 0.77 eV per atom
- Size of the total moment: 26.14 μB per cell
- E_tot: -2.296 eV/atom

CIF file:
```
data_Mg12Pa3In5
_cell_length_a 15.1256
_cell_length_b 15.1256
_cell_length_c 15.1256
_cell_angle_alpha 109.47
_cell_angle_beta 109.47
_cell_angle_gamma 109.47
_space_group_name_H-M_alt 'P 1'
_space_group_IT_number 1
loop_
_space_group_symop_operation_xyz
'x,y,z'
loop_
_atom_site_label
_atom_site_fract_x
_atom_site_fract_y
_atom_site_fract_z
Mg1 0.0563 0.2188 0.1312
Mg2 0.0563 0.3375 0.9251
Mg3 0.0749 0.6312 0.4124
Mg4 0.0749 0.9437 0.6625
Mg5 0.0876 0.7188 0.6625
Mg6 0.0876 0.8688 0.4251
Mg7 0.1312 0.0563 0.2188
Mg8 0.1312 0.5749 0.9124
Mg9 0.1625 0.2188 0.5876
Mg10 0.1625 0.4437 0.5749
Mg11 0.2188 0.1312 0.0563
Mg12 0.2188 0.5876 0.1625
Mg13 0.2812 0.3375 0.9124
Mg14 0.2812 0.4437 0.3688
Mg15 0.3375 0.9124 0.2812
Mg16 0.3375 0.9251 0.0563
Mg17 0.3688 0.2812 0.4437
Mg18 0.3688 0.5876 0.9251
Mg19 0.4124 0.0749 0.6312
Mg20 0.4124 0.8375 0.7812
Mg21 0.4251 0.0876 0.8688
Mg22 0.4251 0.8375 0.5563
Mg23 0.4437 0.3688 0.2812
Mg24 0.4437 0.5749 0.1625
Mg25 0.5563 0.4251 0.8375
Mg26 0.5563 0.6312 0.7188
Mg27 0.5749 0.1625 0.4437
Mg28 0.5749 0.9124 0.1312
Mg29 0.5876 0.1625 0.2188
Mg30 0.5876 0.9251 0.3688
Mg31 0.6312 0.4124 0.0749
Mg32 0.6312 0.7188 0.5563
Mg33 0.6625 0.0749 0.9437
Mg34 0.6625 0.0876 0.7188
Mg35 0.7188 0.5563 0.6312
Mg36 0.7188 0.6625 0.0876
Mg37 0.7812 0.4124 0.8375
Mg38 0.7812 0.8688 0.9437
Mg39 0.8375 0.5563 0.4251
Mg40 0.8375 0.7812 0.4124
Mg41 0.8688 0.4251 0.0876
Mg42 0.8688 0.9437 0.7812
Mg43 0.9124 0.1312 0.5749
Mg44 0.9124 0.2812 0.3375
Mg45 0.9251 0.0563 0.3375
Mg46 0.9251 0.3688 0.5876
Mg47 0.9437 0.6625 0.0749
Mg48 0.9437 0.7812 0.8688
Pa1 0.1250 0.2500 0.3750
Pa2 0.1250 0.3750 0.7500
Pa3 0.2500 0.3750 0.1250
Pa4 0.2500 0.8750 0.6250
Pa5 0.3750 0.1250 0.2500
Pa6 0.3750 0.7500 0.1250
Pa7 0.6250 0.2500 0.8750
Pa8 0.6250 0.8750 0.7500
Pa9 0.7500 0.1250 0.3750
Pa10 0.7500 0.6250 0.8750
Pa11 0.8750 0.6250 0.2500
Pa12 0.8750 0.7500 0.6250
In1 0.0000 0.0000 0.0000
In2 0.0000 0.0000 0.5000
In3 0.0000 0.5000 0.0000
In4 0.0000 0.5000 0.5000
In5 0.1250 0.7500 0.8750
In6 0.1250 0.8750 0.2500
In7 0.2500 0.1250 0.8750
In8 0.2500 0.6250 0.3750
In9 0.3750 0.2500 0.6250
In10 0.3750 0.6250 0.7500
In11 0.5000 0.0000 0.0000
In12 0.5000 0.0000 0.5000
In13 0.5000 0.5000 0.0000
In14 0.5000 0.5000 0.5000
In15 0.6250 0.3750 0.2500
In16 0.6250 0.7500 0.3750
In17 0.7500 0.3750 0.6250
In18 0.7500 0.8750 0.1250
In19 0.8750 0.1250 0.7500
In20 0.8750 0.2500 0.1250
```


# 4
MgPaIn6 after structural relaxation. Source: the Alexandria database, functional PBE.

- Formation enthalpy at 0 K: -0.03 eV per atom
- Size of the total moment: 0.60 μB per cell
- E_tot: -3.469 eV/atom

CIF file:
```
data_MgPaIn6
_cell_length_a 6.6624
_cell_length_b 6.6624
_cell_length_c 4.4944
_cell_angle_alpha 90.00
_cell_angle_beta 90.00
_cell_angle_gamma 90.00
_space_group_name_H-M_alt 'P 1'
_space_group_IT_number 1
loop_
_space_group_symop_operation_xyz
'x,y,z'
loop_
_atom_site_label
_atom_site_fract_x
_atom_site_fract_y
_atom_site_fract_z
Mg1 0.0000 0.0000 0.0000
Pa1 0.5000 0.5000 0.0000
In1 0.0000 0.5000 0.0000
In2 0.2441 0.2441 0.5000
In3 0.2441 0.7559 0.5000
In4 0.5000 0.0000 0.0000
In5 0.7559 0.2441 0.5000
In6 0.7559 0.7559 0.5000
```


# 5
MgPaIn2 after structural relaxation. Source: the Alexandria database, functional PBE.

- Formation enthalpy at 0 K: -0.03 eV per atom
- Size of the total moment: 0.51 μB per cell
- E_tot: -4.167 eV/atom

CIF file:
```
data_MgPaIn2
_cell_length_a 3.1089
_cell_length_b 3.1089
_cell_length_c 9.7830
_cell_angle_alpha 90.00
_cell_angle_beta 90.00
_cell_angle_gamma 90.00
_space_group_name_H-M_alt 'P 1'
_space_group_IT_number 1
loop_
_space_group_symop_operation_xyz
'x,y,z'
loop_
_atom_site_label
_atom_site_fract_x
_atom_site_fract_y
_atom_site_fract_z
Mg1 0.0000 0.0000 0.0000
Pa1 0.0000 0.0000 0.5000
In1 0.5000 0.5000 0.2377
In2 0.5000 0.5000 0.7623
```


# 6
MgPa2In8 after structural relaxation. Source: the Alexandria database, functional PBE.

- Formation enthalpy at 0 K: -0.07 eV per atom
- Size of the total moment: 1.69 μB per cell
- E_tot: -3.930 eV/atom

CIF file:
```
data_MgPa2In8
_cell_length_a 4.7898
_cell_length_b 4.7898
_cell_length_c 12.2101
_cell_angle_alpha 90.00
_cell_angle_beta 90.00
_cell_angle_gamma 90.00
_space_group_name_H-M_alt 'P 1'
_space_group_IT_number 1
loop_
_space_group_symop_operation_xyz
'x,y,z'
loop_
_atom_site_label
_atom_site_fract_x
_atom_site_fract_y
_atom_site_fract_z
Mg1 0.0000 0.0000 0.0000
Pa1 0.0000 0.0000 0.3153
Pa2 0.0000 0.0000 0.6847
In1 0.0000 0.5000 0.1353
In2 0.0000 0.5000 0.5000
In3 0.0000 0.5000 0.8647
In4 0.5000 0.0000 0.1353
In5 0.5000 0.0000 0.5000
In6 0.5000 0.0000 0.8647
In7 0.5000 0.5000 0.3170
In8 0.5000 0.5000 0.6830
```


# 7
MgPaIn2 after structural relaxation. Source: the Alexandria database, functional PBE.

- Formation enthalpy at 0 K: -0.03 eV per atom
- Size of the total moment: 1.11 μB per cell
- E_tot: -4.173 eV/atom

CIF file:
```
data_MgPaIn2
_cell_length_a 6.7482
_cell_length_b 9.4617
_cell_length_c 3.0927
_cell_angle_alpha 90.00
_cell_angle_beta 90.00
_cell_angle_gamma 90.00
_space_group_name_H-M_alt 'P 1'
_space_group_IT_number 1
loop_
_space_group_symop_operation_xyz
'x,y,z'
loop_
_atom_site_label
_atom_site_fract_x
_atom_site_fract_y
_atom_site_fract_z
Mg1 0.0000 0.0000 0.0000
Mg2 0.5000 0.5000 0.0000
Pa1 0.0000 0.5000 0.0000
Pa2 0.5000 0.0000 0.0000
In1 0.2500 0.2500 0.5000
In2 0.2500 0.7500 0.5000
In3 0.7500 0.2500 0.5000
In4 0.7500 0.7500 0.5000
```


# 8
MgPaInPb after structural relaxation. Source: the Alexandria database, functional PBE.

- Formation enthalpy at 0 K: 0.12 eV per atom
- Size of the total moment: 4.29 μB per cell
- E_tot: -4.268 eV/atom

CIF file:
```
data_MgPaInPb
_cell_length_a 7.4643
_cell_length_b 7.4643
_cell_length_c 7.4643
_cell_angle_alpha 90.00
_cell_angle_beta 90.00
_cell_angle_gamma 90.00
_space_group_name_H-M_alt 'P 1'
_space_group_IT_number 1
loop_
_space_group_symop_operation_xyz
'x,y,z'
loop_
_atom_site_label
_atom_site_fract_x
_atom_site_fract_y
_atom_site_fract_z
Mg1 0.0000 0.0000 0.0000
Mg2 0.0000 0.5000 0.5000
Mg3 0.5000 0.0000 0.5000
Mg4 0.5000 0.5000 0.0000
Pa1 0.0000 0.0000 0.5000
Pa2 0.0000 0.5000 0.0000
Pa3 0.5000 0.0000 0.0000
Pa4 0.5000 0.5000 0.5000
In1 0.2500 0.2500 0.2500
In2 0.2500 0.7500 0.7500
In3 0.7500 0.2500 0.7500
In4 0.7500 0.7500 0.2500
Pb1 0.2500 0.2500 0.7500
Pb2 0.2500 0.7500 0.2500
Pb3 0.7500 0.2500 0.2500
Pb4 0.7500 0.7500 0.7500
```